No. 1
VASP calculation (PBE-GGA) on a relaxed structure of TaPbBr2.

Unit cell a=5.6010 b=5.6010 c=3.2837 alpha=90.00 beta=90.00 gamma=107.52
With the nearest neighbours (Å) after each atom.
Atoms (fractional coordinates):
Pb 0.5000 0.0000 0.5000  8 Br 3.25, 2 Pb 3.28, 2 Ta 3.31
Br 0.0000 0.0000 0.0000  4 Pb 3.25, 4 Ta 3.25, 4 Br 3.28-3.31
Br 0.5000 0.5000 0.0000  4 Ta 3.25, 4 Pb 3.25, 4 Br 3.28-3.31
Ta 0.0000 0.5000 0.5000  8 Br 3.25, 2 Ta 3.28, 2 Pb 3.31

Calculated volume, Å³/atom: 24.6
Energy above the most stable polymorph in this dataset, meV per atom: 829
SG: No. 65
Formation energy (no corrections), meV/atom: 647.0



No. 2
VASP calculation (PBE-GGA) on a relaxed structure of Ti2MoPdRu.

Unit cell a=4.5691 b=4.8075 c=4.5691 alpha=90.00 beta=90.00 gamma=90.00
With the nearest neighbours (Å) after each atom.
Atoms (fractional coordinates):
Ru 0.0000 0.5000 0.0000  2 Pd 2.40
Mo 0.5000 0.5000 0.5000  4 Ru 3.23, 8 Ti 3.32
Pd 0.0000 0.0000 0.0000  4 Ti 2.28, 2 Ru 2.40
Ti 0.0000 0.0000 0.5000  2 Pd 2.28
Ti 0.5000 0.0000 0.0000  2 Pd 2.28

Calculated volume, Å³/atom: 20.1
ΔE_f, meV per atom: 1301.6
SG: No. 123



Respective total moment values: 1.543, 2.388 μB per cell.
Respective energy values: -16.319, -34.582 eV for the cell shown.